VASP calculation (meta-GGA SCAN) on BiTeMoI2 at its PBEsol-relaxed geometry.

Computed properties:
* formation energy from raw total energies: 928 meV/atom
* Fermi-level density of states: 2.56 states/eV/cell
* total magnetic moment: 4.95 μB per cell

abc: 5.9221 5.9221 5.9521
angles: 90.00 90.00 90.00
With the nearest neighbours (Å) after each atom.
Positions (direct):
Mo (0.5000, 0.5000, 0.5000)  4 Te 4.19, 8 I 4.20
I (0.5000, 0.0000, 0.0000)  2 Bi 2.96
I (0.0000, 0.5000, 0.0000)  2 Bi 2.96
Te (0.0000, 0.0000, 0.5000)  2 Bi 2.98
Bi (0.0000, 0.0000, 0.0000)  4 I 2.96, 2 Te 2.98

---

VASP calculation (meta-GGA SCAN) on BiIN2 at its PBEsol-relaxed geometry.

Computed properties:
* formation energy from raw total energies: 1549 meV/atom
* Fermi-level density of states: 2.54 states/eV/cell
* total magnetic moment: 0.00 μB per cell

abc: 3.4320 3.4320 7.4123
angles: 76.61 76.61 60.00
With the nearest neighbours (Å) after each atom.
Positions (direct):
N (0.8875, 0.8875, 0.3376)  3 I 2.30, 1 Bi 2.41
N (0.1125, 0.1125, 0.6624)  3 I 2.30, 1 Bi 2.41
I (0.5000, 0.5000, 0.5000)  6 N 2.30
Bi (0.0000, 0.0000, 0.0000)  2 N 2.41

---

VASP calculation (meta-GGA SCAN) on BiINO2 at its PBEsol-relaxed geometry.

Computed properties:
* formation energy from raw total energies: 708 meV/atom
* Fermi-level density of states: 1.85 states/eV/cell
* total magnetic moment: 0.79 μB per cell

abc: 4.1640 4.1640 4.5611
angles: 90.00 90.00 90.00
With the nearest neighbours (Å) after each atom.
Positions (direct):
Bi (0.0000, 0.0000, 0.0000)  4 O 2.08, 2 N 2.28
O (0.5000, 0.0000, 0.0000)  2 Bi 2.08
O (0.0000, 0.5000, 0.0000)  2 Bi 2.08
I (0.5000, 0.5000, 0.5000)  4 N 2.94, 8 O 3.09
N (0.0000, 0.0000, 0.5000)  2 Bi 2.28